Entry from Alexandria via LeMat-Bulk: a relaxed CsFeBi2Cl8 crystal (PBE).

It has space group C2/m (No. 12), with a = 12.688 Å, b = 6.560 Å, c = 9.867 Å, α = 90.00°, β = 116.61° and γ = 90.00°. The distinct sites, in fractional coordinates, are Cs at (0.000, 0.000, 0.000), Fe at (0.000, 0.500, 0.500), Bi at (0.177, 0.000, 0.604), Cl at (0.020, 0.250, 0.671), Cl at (0.164, 0.500, 0.122) and Cl at (0.204, 0.500, 0.588).

The calculation puts the formation energy without anion corrections at -888 meV/atom.

=====

Entry from Alexandria via LeMat-Bulk: a relaxed LaTa crystal (PBE).

It has space group P2_12_12_1 (No. 19), with a = 5.883 Å, b = 7.709 Å, c = 9.177 Å, α = 90.00°, β = 90.00° and γ = 90.00°. The distinct sites, in fractional coordinates, are La at (0.110, 0.204, 0.240), La at (0.116, 0.408, 0.935), Ta at (0.092, 0.023, 0.894) and Ta at (0.149, 0.220, 0.584).

The calculation puts the formation energy at 0.538 eV/atom.

=====

Going through the records in order, we get DOS at the Fermi energy values of 0.38; 1.24 states/eV per atom.